Crystalline Sm2SbBr2 at its relaxed geometry, computed with PBE.

Lattice parameters (Å, degrees): 4.3289 4.3289 11.0917 78.75 78.75 60.00
Fractional positions:
Sb  0.0000  0.0000  0.0000
Br  0.7753  0.7753  0.6742
Br  0.2247  0.2247  0.3258
Sm  0.3882  0.3882  0.8353
Sm  0.6118  0.6118  0.1647

Results
Fermi-level density of states = 2.0 states/eV/f.u.
symmetry = R-3m
uncorrected formation energy = -1513 meV/atom